(1)
{"formula": "CrCd2GeRu", "functional": "PBE", "state": "relaxed", "lattice_angstrom": [[-3.962, 1.398, 2.807], [2.296, -1.090, 3.784], [1.832, 4.703, 0.243]], "species": ["Ru", "Cr", "Ge", "Cd", "Cd"], "fractional_positions": [[0.500, 0.500, 0.500], [0.000, 0.000, 0.000], [0.000, 0.500, 0.000], [0.500, 0.000, 0.000], [0.000, 0.000, 0.500]], "dft_energy_ev_per_atom": -3.864, "formation_enthalpy_0k_mev_per_atom": 1205, "magmom_total_mub_per_atom": 1.088}



(2)
{"formula": "CrCd2GeSb", "functional": "PBE", "state": "relaxed", "lattice_angstrom": [[5.206, 0.000, 0.000], [0.000, 4.960, 0.000], [0.000, 0.000, 5.206]], "species": ["Cd", "Cd", "Ge", "Cr", "Sb"], "fractional_positions": [[0.500, 0.000, 0.000], [0.000, 0.000, 0.500], [0.500, 0.500, 0.500], [0.000, 0.000, 0.000], [0.000, 0.500, 0.000]], "dft_energy_ev_per_atom": -3.368, "formation_energy_uncorrected_ev_per_atom": 0.6710, "magmom_total_mub_per_atom": 0.577}



(3)
{"formula": "CrCdGeTe2", "functional": "PBE", "state": "relaxed", "lattice_angstrom": [[-2.857, -2.356, -4.152], [2.317, -4.266, 0.826], [-3.992, -1.475, 3.584]], "species": ["Cd", "Te", "Te", "Ge", "Cr"], "fractional_positions": [[0.000, 0.000, 0.000], [0.500, 0.000, 0.000], [0.000, 0.000, 0.500], [0.500, 0.500, 0.500], [0.000, 0.500, 0.000]], "dft_energy_ev_per_atom": -2.891, "formation_energy_uncorrected_ev_per_atom": 1.3968, "magmom_total_mub_per_atom": 0.014}



(4)
{"formula": "Zn2CrCdGe", "functional": "PBE", "state": "relaxed", "lattice_angstrom": [[-1.906, 4.036, 1.570], [-3.802, -0.328, -3.771], [-2.741, -2.452, 2.976]], "species": ["Zn", "Zn", "Cr", "Ge", "Cd"], "fractional_positions": [[0.500, 0.000, 0.000], [0.000, 0.000, 0.500], [0.500, 0.500, 0.500], [0.000, 0.000, 0.000], [0.000, 0.500, 0.000]], "dft_energy_ev_per_atom": -2.768, "formation_enthalpy_0k_mev_per_atom": 773, "magmom_total_mub_per_atom": 0.936}



(5)
{"formula": "Cr2CdH", "functional": "PBE", "state": "relaxed", "lattice_angstrom": [[0.000, 3.167, 3.167], [3.167, 0.000, 3.167], [3.167, 3.167, 0.000]], "species": ["Cr", "Cr", "Cd", "H"], "fractional_positions": [[0.750, 0.750, 0.750], [0.250, 0.250, 0.250], [0.500, 0.500, 0.500], [0.000, 0.000, 0.000]], "dft_energy_ev_per_atom": -4.783, "magmom_total_mub_per_atom": 1.993}



(6)
{"formula": "Cr2CdH2", "functional": "PBE", "state": "relaxed", "lattice_angstrom": [[3.172, 0.000, 0.000], [0.000, 3.172, 0.000], [1.586, 1.586, 4.890]], "species": ["Cr", "Cr", "Cd", "H", "H"], "fractional_positions": [[0.680, 0.680, 0.640], [0.320, 0.320, 0.360], [0.000, 0.000, 0.000], [0.750, 0.250, 0.500], [0.250, 0.750, 0.500]], "dft_energy_ev_per_atom": -5.148, "magmom_total_mub_per_atom": 0.000}



(7)
{"formula": "Cr2CdH", "functional": "PBE", "state": "relaxed", "lattice_angstrom": [[-2.065, 4.705, 0.853], [-2.776, -0.423, -4.386], [-5.172, 0.590, 0.125]], "species": ["H", "H", "Cr", "Cr", "Cr", "Cr", "Cd", "Cd"], "fractional_positions": [[0.250, 0.750, 0.500], [0.500, 0.500, 0.000], [0.875, 0.625, 0.750], [0.375, 0.625, 0.250], [0.375, 0.125, 0.250], [0.375, 0.625, 0.750], [0.000, 0.000, 0.000], [0.750, 0.250, 0.500]], "dft_energy_ev_per_atom": -5.331, "magmom_total_mub_per_atom": 0.284}



(8)
{"formula": "K2CrCdH6", "functional": "PBE", "state": "relaxed", "lattice_angstrom": [[-3.359, 3.428, -3.024], [-3.762, -4.205, -0.584], [-5.389, 0.783, 1.558]], "species": ["H", "H", "H", "H", "H", "H", "K", "K", "Cd", "Cr"], "fractional_positions": [[0.228, 0.228, 0.542], [0.772, 0.772, 0.458], [0.227, 0.227, 0.001], [0.228, 0.772, 0.000], [0.773, 0.773, 0.999], [0.772, 0.228, 0.000], [0.750, 0.250, 0.500], [0.250, 0.750, 0.500], [0.500, 0.500, 0.000], [0.000, 0.000, 0.000]], "dft_energy_ev_per_atom": -3.330, "magmom_total_mub_per_atom": 0.387}



(9)
{"formula": "LiCrCdH6", "functional": "PBE", "state": "relaxed", "lattice_angstrom": [[4.547, 0.000, 0.000], [-2.274, 3.938, 0.000], [0.000, 0.000, 8.378]], "species": ["Li", "Li", "H", "H", "H", "H", "H", "H", "H", "H", "H", "H", "H", "H", "Cr", "Cr", "Cd", "Cd"], "fractional_positions": [[0.667, 0.333, 0.750], [0.333, 0.667, 0.250], [0.512, 0.487, 0.120], [0.488, 0.975, 0.620], [0.975, 0.487, 0.380], [0.487, 0.975, 0.880], [0.025, 0.512, 0.880], [0.487, 0.512, 0.620], [0.513, 0.025, 0.120], [0.025, 0.513, 0.620], [0.488, 0.513, 0.880], [0.513, 0.488, 0.380], [0.512, 0.025, 0.380], [0.975, 0.488, 0.120], [0.333, 0.667, 0.750], [0.667, 0.333, 0.250], [0.000, 0.000, 0.500], [0.000, 0.000, 0.000]], "dft_energy_ev_per_atom": -3.437, "magmom_total_mub_per_atom": 0.132}